# 1
VASP calculation (PBE+U) on an optimized crystal structure of Li4MnCo2O7.

POSCAR file:
```
Li4MnCo2O7
1.0
0.943 -14.423 -3.580
2.915 -13.544 -5.457
4.178 -1.320 3.771
Li O Co Mn
8 14 4 2
Cartesian
4.814 -26.542 -7.366
3.222 -2.745 2.100
4.298 -18.349 -4.073
6.612 -23.371 -3.993
4.018 -14.643 -2.633
1.424 -5.915 -1.273
3.738 -10.938 -1.193
1.929 -13.983 -4.518
4.016 -12.809 -1.776
3.481 -4.719 1.448
4.020 -16.478 -3.489
6.358 -17.298 -1.417
4.464 -20.448 -4.881
3.572 -8.839 -0.385
6.409 -20.862 -3.032
1.678 -11.989 -3.849
4.555 -24.568 -6.714
1.627 -8.425 -2.234
1.034 -0.487 0.858
1.193 -3.958 -0.599
7.002 -28.800 -6.124
6.843 -25.329 -4.666
1.682 -10.269 -3.040
6.354 -19.018 -2.226
1.189 -2.160 0.238
6.846 -27.127 -5.504
4.529 -22.590 -5.815
3.507 -6.697 0.550
```

DOS at the Fermi energy ... 0.0817 states/eV/atom
Magnetization ... 5.99 μB per cell
Space-group type ... C2/m
Energy above the most stable polymorph in this dataset ... 69 meV/atom



# 2
VASP calculation (PBE+U) on an optimized crystal structure of Li7Mn3Co3O16.

POSCAR file:
```
Li7Mn3Co3O16
1.0
-0.778 -5.521 -1.059
3.282 3.099 -3.440
7.844 -2.372 5.643
Co Li O Mn
3 7 16 3
Cartesian
7.184 -1.686 3.094
8.427 -2.888 0.862
2.167 -4.792 0.188
3.212 -6.679 1.785
6.862 -4.463 2.624
0.805 -2.627 -1.736
2.584 -1.146 -3.300
1.362 0.037 -1.103
5.109 -4.023 1.411
5.860 -0.891 0.143
2.537 -1.702 -1.270
8.660 -4.494 1.798
5.681 0.864 -0.901
3.628 -3.524 0.318
2.146 -4.283 -1.611
6.704 -2.690 1.582
5.290 -2.069 -1.461
7.377 -3.254 4.103
1.093 -3.264 0.281
3.953 -0.776 0.941
4.672 -7.107 2.828
0.634 -5.929 -0.053
7.065 -0.103 2.106
8.259 -1.258 -0.039
8.975 -1.836 2.386
6.915 -6.205 3.591
3.744 -3.189 -1.585
2.500 -1.986 0.650
8.881 -0.145 1.423
```

VASP energy ... -171.09 eV for the cell shown
DOS at the Fermi energy ... 0.1529 states/eV/atom
Magnetization ... 3.25 μB per cell
Space-group type ... Cm



# 3
VASP calculation (PBE+U) on an optimized crystal structure of Li2MnCo3O8.

POSCAR file:
```
Li2MnCo3O8
1.0
-7.941 -0.838 -1.434
1.665 -4.237 -6.712
-0.052 -6.860 4.326
Mn Co O Li
4 12 32 8
Cartesian
-4.544 -10.330 -3.164
-3.380 -6.298 -0.521
1.023 -5.219 -2.583
-1.783 -1.605 -0.661
-0.977 -7.160 -1.854
-1.392 -7.795 0.908
-7.316 -3.281 -3.406
-3.801 -3.517 0.058
1.416 -8.000 -3.170
-5.350 -4.776 -1.968
-2.954 -9.071 -1.130
-5.792 -5.450 0.781
-0.559 -6.485 -4.604
0.165 -6.529 2.931
-4.912 -4.142 -4.724
-2.522 -4.987 -6.040
-1.463 -6.247 -0.238
-5.052 -5.716 -3.614
-1.669 -6.847 2.580
-5.652 -3.891 -0.322
-6.822 -4.366 -4.919
-0.852 -5.573 -2.927
-0.484 -8.019 -3.460
-2.852 -7.374 -2.062
0.130 -1.349 -0.469
-2.671 -10.196 -2.680
0.457 -7.639 1.425
-2.404 -6.629 -5.122
-5.289 -6.337 -0.854
-1.282 -2.494 -2.289
-4.615 -8.783 -4.302
-3.703 -1.809 -0.848
-3.883 -5.208 0.978
-7.697 -5.690 0.620
-3.011 -3.911 -4.571
1.306 -6.330 -4.122
-4.398 -5.051 -6.352
-7.188 -4.950 -2.429
-5.418 -3.266 -3.098
-6.409 -10.513 -3.663
-3.514 -4.620 -1.511
-0.644 -4.919 -5.737
-1.102 -8.696 -0.757
0.899 -6.926 -1.641
-4.823 -9.421 -1.496
-1.934 -3.171 0.439
-3.256 -7.968 0.420
-5.944 -7.053 1.866
-6.164 -8.019 -1.347
0.193 -10.122 -0.876
-2.168 -4.134 -2.842
-4.552 -1.609 -2.597
-1.342 -9.665 -4.012
-0.600 -4.584 0.335
-3.721 -7.132 -3.796
-6.952 -2.473 -0.169
```

Magnetization ... 15.64 μB per cell
Space-group type ... C2
Energy above the most stable polymorph in this dataset ... 0 meV/atom



# 4
VASP calculation (PBE+U) on an optimized crystal structure of Li2MnCo3O8.

POSCAR file:
```
Li2MnCo3O8
1.0
5.714 -0.003 -0.002
2.843 4.957 -0.002
2.843 1.646 4.675
Co O Li Mn
3 8 2 1
Cartesian
2.843 3.301 2.337
4.279 0.822 2.337
4.279 2.477 -0.002
8.378 4.850 3.433
5.854 4.879 3.453
5.546 1.721 1.218
4.254 3.952 1.218
7.146 2.648 3.453
3.022 1.750 1.238
7.146 4.137 1.349
4.254 2.463 3.322
9.972 5.773 4.086
1.429 0.827 0.585
5.700 3.300 2.336
```

DOS at the Fermi energy ... 0.2254 states/eV/atom
Magnetization ... 1.99 μB per cell
Space-group type ... R-3m
Energy above the most stable polymorph in this dataset ... 16 meV/atom



# 5
VASP calculation (PBE+U) on an optimized crystal structure of Li7Mn4CoO12.

POSCAR file:
```
Li7Mn4CoO12
1.0
1.439 6.596 0.014
-1.439 6.596 0.014
0.000 2.478 11.479
Li O Co Mn
7 12 1 4
Cartesian
0.000 5.507 4.813
0.000 0.673 2.939
0.000 8.948 0.963
0.000 14.996 8.567
0.000 10.162 6.693
0.000 1.239 5.739
0.000 6.721 10.543
0.000 4.109 8.205
0.000 3.305 5.122
0.000 12.364 6.385
0.000 2.685 2.574
0.000 6.897 1.273
0.000 7.988 7.238
0.000 12.984 8.933
0.000 8.772 10.233
0.000 11.561 3.301
0.000 7.681 4.268
0.000 11.083 0.650
0.000 4.587 10.857
0.000 0.000 0.000
0.000 4.788 1.944
0.000 9.476 3.911
0.000 10.881 9.562
0.000 6.193 7.596
```

Magnetization ... 16.00 μB per cell
Space-group type ... C2/m
Energy above the most stable polymorph in this dataset ... 44 meV/atom



# 6
VASP calculation (PBE+U) on an optimized crystal structure of Li4MnCo2O7.

POSCAR file:
```
Li4MnCo2O7
1.0
-1.587 -4.267 2.157
5.673 -1.830 2.658
-1.982 2.233 7.053
O Co Mn Li
14 4 2 8
Cartesian
0.790 -2.981 10.494
-2.103 -1.023 8.122
-0.168 -0.242 3.527
2.272 -3.622 8.342
0.971 -4.395 5.979
1.131 -2.566 3.535
3.653 -1.277 8.511
4.207 -2.842 3.746
1.133 0.531 5.890
-0.238 -1.987 5.831
-1.549 -2.587 3.358
2.341 -1.877 6.038
0.973 -1.299 8.333
1.314 -0.883 1.375
-0.311 -3.553 4.583
1.130 -1.043 4.782
2.415 -0.311 7.286
0.974 -2.821 7.087
2.267 -2.093 9.555
-0.163 -1.772 2.314
0.000 0.000 0.000
-0.517 -0.259 7.038
-1.785 -1.017 4.605
2.777 -1.779 2.516
-0.673 -2.085 9.353
-1.937 -2.813 6.967
2.621 -3.605 4.831
4.041 -1.051 4.902
```

Magnetization ... 1.97 μB per cell
Space-group type ... P-1
Energy above the most stable polymorph in this dataset ... 21 meV/atom



Repeat the third record exactly.
VASP calculation (PBE+U) on an optimized crystal structure of Li2MnCo3O8.

POSCAR file:
```
Li2MnCo3O8
1.0
-7.941 -0.838 -1.434
1.665 -4.237 -6.712
-0.052 -6.860 4.326
Mn Co O Li
4 12 32 8
Cartesian
-4.544 -10.330 -3.164
-3.380 -6.298 -0.521
1.023 -5.219 -2.583
-1.783 -1.605 -0.661
-0.977 -7.160 -1.854
-1.392 -7.795 0.908
-7.316 -3.281 -3.406
-3.801 -3.517 0.058
1.416 -8.000 -3.170
-5.350 -4.776 -1.968
-2.954 -9.071 -1.130
-5.792 -5.450 0.781
-0.559 -6.485 -4.604
0.165 -6.529 2.931
-4.912 -4.142 -4.724
-2.522 -4.987 -6.040
-1.463 -6.247 -0.238
-5.052 -5.716 -3.614
-1.669 -6.847 2.580
-5.652 -3.891 -0.322
-6.822 -4.366 -4.919
-0.852 -5.573 -2.927
-0.484 -8.019 -3.460
-2.852 -7.374 -2.062
0.130 -1.349 -0.469
-2.671 -10.196 -2.680
0.457 -7.639 1.425
-2.404 -6.629 -5.122
-5.289 -6.337 -0.854
-1.282 -2.494 -2.289
-4.615 -8.783 -4.302
-3.703 -1.809 -0.848
-3.883 -5.208 0.978
-7.697 -5.690 0.620
-3.011 -3.911 -4.571
1.306 -6.330 -4.122
-4.398 -5.051 -6.352
-7.188 -4.950 -2.429
-5.418 -3.266 -3.098
-6.409 -10.513 -3.663
-3.514 -4.620 -1.511
-0.644 -4.919 -5.737
-1.102 -8.696 -0.757
0.899 -6.926 -1.641
-4.823 -9.421 -1.496
-1.934 -3.171 0.439
-3.256 -7.968 0.420
-5.944 -7.053 1.866
-6.164 -8.019 -1.347
0.193 -10.122 -0.876
-2.168 -4.134 -2.842
-4.552 -1.609 -2.597
-1.342 -9.665 -4.012
-0.600 -4.584 0.335
-3.721 -7.132 -3.796
-6.952 -2.473 -0.169
```

Magnetization ... 15.64 μB per cell
Space-group type ... C2
Energy above the most stable polymorph in this dataset ... 0 meV/atom



Question: Among the records above, which one has the lowest magnetization?
Answer: number 6